Computed, not measured: an optimized crystal structure of PmBe2SiOs2 at the GGA-PBE level of DFT.

Output
- calculated total energy (eV per atom) = -6.545
- formation energy without anion corrections (eV/f.u.) = 0.8

Geometry as CIF:
```
data_PmBe2SiOs2
_chemical_formula_sum 'Pm1 Be2 Si1 Os2'
_cell_length_a 4.390
_cell_length_b 4.390
_cell_length_c 5.539
_cell_angle_alpha 90.00
_cell_angle_beta 90.00
_cell_angle_gamma 90.00
_space_group_name_H-M_alt 'P 1'
_space_group_IT_number 1
loop_
_space_group_symop_operation_xyz
'x,y,z'
loop_
_atom_site_label
_atom_site_type_symbol
_atom_site_fract_x
_atom_site_fract_y
_atom_site_fract_z
Pm1 Pm 0.000 0.000 0.500
Be1 Be 0.500 0.500 0.780
Be2 Be 0.500 0.500 0.220
Si1 Si 0.000 0.000 0.000
Os1 Os 0.500 0.000 0.000
Os2 Os 0.000 0.500 0.000
```